(1)
Material: SbSI3
Method: DFT, PBEsol
State: optimized geometry

- Space group: Pm-3m, No. 221
- Uncorrected energy: -0.175 Ry per atom

Cell and atoms, written as POSCAR:
```
SbSI3
1.0
-3.372 -3.752 -2.990
4.374 -0.903 -3.800
1.971 -4.416 3.317
I Sb S
3 1 1
direct
0.000 0.500 0.000 I
0.000 0.000 0.500 I
0.500 0.000 0.000 I
0.000 0.000 0.000 Sb
0.500 0.500 0.500 S
```

---

(2)
Material: Sr2ZnP
Method: DFT, PBEsol
State: optimized geometry

- Energy relative to the lowest polymorph listed for this composition: 0 meV per atom
- Space group: Amm2, No. 38
- Uncorrected energy: -0.251 Ry per atom
- ΔE_f: -0.655 eV per atom

Cell and atoms, written as POSCAR:
```
Sr2ZnP
1.0
4.216 0.000 0.000
0.000 4.428 0.000
0.000 -2.214 5.734
Sr Zn P
2 1 1
direct
0.500 0.984 0.968 Sr
0.000 0.263 0.525 Sr
0.000 0.559 0.117 Zn
0.500 0.695 0.390 P
```

---

(3)
Material: Ba3CrSn
Method: DFT, PBEsol
State: optimized geometry

- Space group: Pm-3m, No. 221
- Uncorrected energy: -0.271 Ry per atom
- ΔE_f: 0.502 eV per atom

Cell and atoms, written as POSCAR:
```
Ba3CrSn
1.0
-1.618 5.757 -2.758
-5.562 0.125 3.522
3.132 3.195 4.832
Cr Ba Sn
1 3 1
direct
0.500 0.500 0.500 Cr
0.000 0.500 0.000 Ba
0.000 0.000 0.500 Ba
0.500 0.000 0.000 Ba
0.000 0.000 0.000 Sn
```

---

(4)
Material: Mo2Se
Method: DFT, PBEsol
State: optimized geometry

- Energy relative to the lowest polymorph listed for this composition: 0 meV per atom
- Space group: C2/m, No. 12
- Uncorrected energy: -0.675 Ry per atom

Cell and atoms, written as POSCAR:
```
Mo2Se
1.0
-2.409 -1.906 -0.426
3.291 -2.473 3.731
-3.246 3.348 3.383
Mo Se
4 2
direct
0.313 0.626 0.855 Mo
0.970 0.941 0.202 Mo
0.030 0.059 0.798 Mo
0.687 0.374 0.145 Mo
0.646 0.293 0.575 Se
0.354 0.707 0.425 Se
```

---

(5)
Material: Li3Er3Te2O12
Method: DFT, PBEsol
State: optimized geometry

- Space group: Ia-3d, No. 230
- Uncorrected energy: -0.511 Ry per atom

Cell and atoms, written as POSCAR:
```
Li3Er3Te2O12
1.0
10.541 0.000 0.000
-3.514 9.938 0.000
-3.514 -4.969 8.606
Li Er Te O
12 12 8 48
direct
0.750 0.125 0.375 Li
0.250 0.875 0.625 Li
0.250 0.375 0.125 Li
0.625 0.250 0.875 Li
0.375 0.750 0.125 Li
0.750 0.625 0.875 Li
0.875 0.750 0.625 Li
0.125 0.250 0.375 Li
0.375 0.625 0.750 Li
0.625 0.375 0.250 Li
0.125 0.875 0.250 Li
0.875 0.125 0.750 Li
0.750 0.875 0.125 Er
0.250 0.125 0.875 Er
0.250 0.625 0.375 Er
0.875 0.250 0.125 Er
0.625 0.750 0.375 Er
0.750 0.375 0.625 Er
0.125 0.750 0.875 Er
0.375 0.250 0.625 Er
0.625 0.875 0.750 Er
0.375 0.125 0.250 Er
0.875 0.625 0.250 Er
0.125 0.375 0.750 Er
0.000 0.000 0.000 Te
0.500 0.000 0.500 Te
0.000 0.500 0.500 Te
0.500 0.500 0.500 Te
0.500 0.500 0.000 Te
0.500 0.000 0.000 Te
0.000 0.500 0.000 Te
0.000 0.000 0.500 Te
0.529 0.827 0.908 O
0.471 0.173 0.092 O
0.419 0.622 0.592 O
0.081 0.673 0.202 O
0.702 0.081 0.173 O
0.673 0.971 0.592 O
0.581 0.378 0.408 O
0.919 0.327 0.798 O
0.298 0.919 0.827 O
0.327 0.029 0.408 O
0.971 0.878 0.298 O
0.798 0.971 0.378 O
0.878 0.081 0.908 O
0.029 0.122 0.702 O
0.202 0.029 0.622 O
0.122 0.919 0.092 O
0.408 0.529 0.327 O
0.827 0.419 0.298 O
0.592 0.471 0.673 O
0.173 0.581 0.702 O
0.092 0.419 0.122 O
0.622 0.529 0.202 O
0.908 0.581 0.878 O
0.378 0.471 0.798 O
0.622 0.092 0.919 O
0.419 0.798 0.327 O
0.378 0.908 0.081 O
0.581 0.202 0.673 O
0.878 0.798 0.471 O
0.971 0.092 0.173 O
0.122 0.202 0.529 O
0.029 0.908 0.827 O
0.673 0.702 0.581 O
0.081 0.408 0.378 O
0.327 0.298 0.419 O
0.919 0.592 0.622 O
0.827 0.408 0.029 O
0.529 0.702 0.122 O
0.173 0.592 0.971 O
0.471 0.298 0.878 O
0.702 0.622 0.029 O
0.298 0.378 0.971 O
0.798 0.827 0.919 O
0.202 0.173 0.081 O
0.092 0.673 0.471 O
0.908 0.327 0.529 O
0.408 0.878 0.581 O
0.592 0.122 0.419 O
```

---

(6)
Material: RuW2Br
Method: DFT, PBEsol
State: optimized geometry

- Energy relative to the lowest polymorph listed for this composition: 622 meV per atom
- Space group: I4/mmm, No. 139
- Uncorrected energy: -0.645 Ry per atom

Cell and atoms, written as POSCAR:
```
RuW2Br
1.0
-2.867 2.199 -1.047
-2.353 -2.919 0.312
1.868 1.411 4.604
Br Ru W
1 1 2
direct
0.500 0.500 0.000 Br
0.000 0.000 0.000 Ru
0.750 0.250 0.500 W
0.250 0.750 0.500 W
```

---

(7)
Material: Na3ZrW
Method: DFT, PBEsol
State: optimized geometry

- Space group: Pm-3m, No. 221
- Uncorrected energy: -0.210 Ry per atom
- ΔE_f: 2.567 eV per atom

Cell and atoms, written as POSCAR:
```
Na3ZrW
1.0
5.485 0.000 0.000
0.000 5.485 0.000
0.000 0.000 5.485
Na Zr W
3 1 1
direct
0.000 0.500 0.000 Na
0.000 0.000 0.500 Na
0.500 0.000 0.000 Na
0.000 0.000 0.000 Zr
0.500 0.500 0.500 W
```

---

(8)
Material: YHf3Pd
Method: DFT, PBEsol
State: optimized geometry

- Space group: Pm-3m, No. 221
- Uncorrected energy: -0.626 Ry per atom
- ΔE_f: 0.344 eV per atom

Cell and atoms, written as POSCAR:
```
YHf3Pd
1.0
5.015 0.000 0.000
0.000 5.015 0.000
0.000 0.000 5.015
Y Hf Pd
1 3 1
direct
0.500 0.500 0.500 Y
0.000 0.500 0.000 Hf
0.000 0.000 0.500 Hf
0.500 0.000 0.000 Hf
0.000 0.000 0.000 Pd
```

---

(9)
Material: CeAlGe
Method: DFT, PBEsol
State: optimized geometry

- Space group: I4_1md, No. 109
- Uncorrected energy: -0.425 Ry per atom
- ΔE_f: -0.574 eV per atom

Cell and atoms, written as POSCAR:
```
CeAlGe
1.0
4.180 0.000 0.000
0.000 4.180 0.000
-2.090 -2.090 7.345
Ge Al Ce
2 2 2
direct
0.083 0.583 0.166 Ge
0.833 0.833 0.666 Ge
0.918 0.418 0.835 Al
0.668 0.668 0.335 Al
0.501 0.001 0.002 Ce
0.251 0.251 0.502 Ce
```

---

(10)
Material: Be2Au
Method: DFT, PBEsol
State: optimized geometry

- Space group: I4/mmm, No. 139
- Uncorrected energy: -0.301 Ry per atom
- ΔE_f: -0.123 eV per atom

Cell and atoms, written as POSCAR:
```
Be2Au
1.0
2.951 0.000 0.000
0.000 2.951 0.000
-1.475 -1.475 3.824
Be Au
2 1
direct
0.324 0.324 0.649 Be
0.676 0.676 0.351 Be
0.000 0.000 0.000 Au
```

---

(11)
Material: Cs2Ni2Bi
Method: DFT, PBEsol
State: optimized geometry

- Space group: I4/mmm, No. 139
- Uncorrected energy: -0.246 Ry per atom
- ΔE_f: 0.357 eV per atom

Cell and atoms, written as POSCAR:
```
Cs2Ni2Bi
1.0
3.381 0.000 0.000
0.000 3.381 0.000
-1.690 -1.690 12.056
Cs Ni Bi
2 2 1
direct
0.373 0.373 0.745 Cs
0.627 0.627 0.255 Cs
0.250 0.750 0.500 Ni
0.750 0.250 0.500 Ni
0.000 0.000 0.000 Bi
```

---

(12)
Material: NbTeCl9
Method: DFT, PBEsol
State: optimized geometry

- Space group: P-1, No. 2
- Uncorrected energy: -0.284 Ry per atom

Cell and atoms, written as POSCAR:
```
NbTeCl9
1.0
-2.738 -5.647 1.466
8.052 -2.309 4.288
-5.218 7.499 6.682
Nb Te Cl
2 2 18
direct
0.118 0.259 0.704 Nb
0.882 0.741 0.296 Nb
0.307 0.341 0.164 Te
0.693 0.659 0.836 Te
0.478 0.124 0.156 Cl
0.522 0.876 0.844 Cl
0.280 0.374 0.372 Cl
0.720 0.626 0.628 Cl
0.134 0.754 0.482 Cl
0.866 0.246 0.518 Cl
0.742 0.492 0.290 Cl
0.258 0.508 0.710 Cl
0.026 0.958 0.278 Cl
0.974 0.042 0.722 Cl
0.115 0.609 0.169 Cl
0.885 0.391 0.831 Cl
0.615 0.691 0.087 Cl
0.385 0.309 0.913 Cl
0.628 0.847 0.391 Cl
0.372 0.153 0.609 Cl
0.036 0.795 0.936 Cl
0.964 0.205 0.064 Cl
```